Entry 1:
Crystalline RbYI4 at its relaxed geometry. Source: the Alexandria database, functional PBE.

For the density, the calculation gives 3.06 g/cm3. The value obtained for the formation energy without anion corrections is -33.1 kcal/mol of atoms. The symmetry is C2/c. For the energy above the lowest structure with this stoichiometry, the calculation gives 0.000 eV/atom.

The structure in POSCAR format:
```
RbYI4
1.0
-6.6150 4.1553 -0.9828
-2.3870 -8.4300 -5.8448
-0.2656 -1.1964 10.4606
Rb Y I
2 2 8
direct
0.2500 0.7612 0.7388
0.7500 0.2388 0.2612
0.7500 0.9337 0.5663
0.2500 0.0663 0.4337
0.2954 0.9995 0.1369
0.2046 0.3631 0.5005
0.3527 0.7810 0.3969
0.6473 0.2190 0.6031
0.8527 0.8969 0.2810
0.7954 0.6369 0.4995
0.1473 0.1031 0.7190
0.7046 0.0005 0.8631
```

---

Entry 2:
Crystalline Rb3YI6 at its relaxed geometry. Source: the Alexandria database, functional PBE.

For the density, the calculation gives 3.36 g/cm3. The value obtained for the formation energy without anion corrections is -32.5 kcal/mol of atoms. The symmetry is Fm-3m. For the energy above the lowest structure with this stoichiometry, the calculation gives 0.068 eV/atom.

The structure in POSCAR format:
```
Rb3YI6
1.0
9.1800 0.0000 0.0000
4.5900 7.9501 0.0000
4.5900 2.6500 7.4954
Rb Y I
3 1 6
direct
0.7500 0.7500 0.7500
0.2500 0.2500 0.2500
0.5000 0.5000 0.5000
0.0000 0.0000 0.0000
0.7673 0.2327 0.2327
0.2327 0.2327 0.7673
0.2327 0.7673 0.7673
0.2327 0.7673 0.2327
0.7673 0.2327 0.7673
0.7673 0.7673 0.2327
```